(1)
Compound: Mg16Al12Cd
Source: Alexandria
Functional: SCAN
Structure: single point on PBEsol structure

As for the space-group type: R3m. The offset from the most stable computed form comes out at 10 meV per atom. Its formation energy is -18 meV/atom.

Cell lengths 9.037, 9.037, 9.037 Å; angles 109.25, 109.25, 109.25 degrees
Fractional coordinates of all 29 atoms:
Al 0.367 0.996 0.183
Al 0.367 0.183 0.996
Al 0.183 0.996 0.367
Al 0.996 0.367 0.183
Al 0.826 0.639 0.639
Al 0.814 0.187 0.814
Al 0.996 0.183 0.367
Al 0.187 0.814 0.814
Al 0.639 0.639 0.826
Al 0.183 0.367 0.996
Al 0.814 0.814 0.187
Al 0.639 0.826 0.639
Mg 0.402 0.682 0.000
Mg 0.597 0.292 0.597
Mg 0.000 0.402 0.682
Mg 0.001 0.654 0.001
Mg 0.714 0.316 0.316
Mg 0.654 0.001 0.001
Mg 0.292 0.597 0.597
Mg 0.316 0.714 0.316
Mg 0.000 0.000 0.000
Mg 0.001 0.001 0.654
Mg 0.682 0.000 0.402
Mg 0.402 0.000 0.682
Mg 0.597 0.597 0.292
Mg 0.316 0.316 0.714
Mg 0.682 0.402 0.000
Mg 0.000 0.682 0.402
Cd 0.331 0.331 0.331

(2)
Compound: Mg16Al12Cd
Source: Alexandria
Functional: SCAN
Structure: single point on PBEsol structure

As for the space-group type: I-43m. The offset from the most stable computed form comes out at 23 meV per atom. Its formation energy is -5 meV/atom.

Cell lengths 9.069, 9.069, 9.069 Å; angles 109.47, 109.47, 109.47 degrees
Fractional coordinates of all 29 atoms:
Al 0.814 0.631 0.000
Al 0.186 0.186 0.817
Al 0.814 0.000 0.631
Al 0.183 0.369 0.369
Al 0.369 0.183 0.369
Al 0.631 0.814 0.000
Al 0.817 0.186 0.186
Al 0.631 0.000 0.814
Al 0.369 0.369 0.183
Al 0.000 0.814 0.631
Al 0.186 0.817 0.186
Al 0.000 0.631 0.814
Mg 0.314 0.599 0.000
Mg 0.686 0.285 0.686
Mg 0.000 0.339 0.000
Mg 0.285 0.686 0.686
Mg 0.000 0.000 0.339
Mg 0.339 0.000 0.000
Mg 0.000 0.314 0.599
Mg 0.599 0.314 0.000
Mg 0.401 0.401 0.715
Mg 0.715 0.401 0.401
Mg 0.000 0.599 0.314
Mg 0.314 0.000 0.599
Mg 0.661 0.661 0.661
Mg 0.401 0.715 0.401
Mg 0.686 0.686 0.285
Mg 0.599 0.000 0.314
Cd 0.000 0.000 0.000

(3)
Compound: Mg2AlCd
Source: Alexandria
Functional: SCAN
Structure: single point on PBEsol structure

As for the space-group type: P4mm. The offset from the most stable computed form comes out at 65 meV per atom. Its formation energy is 3 meV/atom.

Cell lengths 3.071, 3.071, 8.616 Å; angles 90.00, 90.00, 89.99 degrees
Fractional coordinates of all 4 atoms:
Mg 0.500 0.500 0.737
Mg 0.000 0.000 0.008
Al 0.000 0.000 0.497
Cd 0.500 0.500 0.259